# 1
Here is an optimized crystal structure of NpBiSb from the Alexandria database. Energies are from GGA-PBE.

The calculation puts the offset from the most stable computed form at 47.2 meV per atom. The calculation puts the uncorrected formation energy at 0.0 eV/f.u.

The structure belongs to space group I4mm (No. 107); the cell edges are 4.001, 4.001 and 10.432 Å and the angles 90.00°, 90.00° and 90.00°. Symmetry generates all atoms from Np at (0.000, 0.000, 0.000), Bi at (0.000, 0.000, 0.670) and Sb at (0.000, 0.000, 0.353).

# 2
Here is an optimized crystal structure of NpBi2Sb from the Alexandria database. Energies are from GGA-PBE.

The calculation puts the offset from the most stable computed form at 0.0 meV per atom. The calculation puts the uncorrected formation energy at -0.1 eV/f.u.

The structure belongs to space group P4/mmm (No. 123); the cell edges are 4.708, 4.708 and 5.170 Å and the angles 90.00°, 90.00° and 90.00°. Symmetry generates all atoms from Np at (0.000, 0.000, 0.000), Bi at (0.000, 0.500, 0.500) and Sb at (0.500, 0.500, 0.000).

# 3
Here is an optimized crystal structure of Np2BiSb from the Alexandria database. Energies are from GGA-PBE.

The calculation puts the offset from the most stable computed form at 129.7 meV per atom. The calculation puts the uncorrected formation energy at 0.2 eV/f.u.

The structure belongs to space group R3m (No. 160, hexagonal axes); the cell edges are 4.3170, 4.3170 and 23.3905 Å and the angles 90.00°, 90.00° and 120.00°. Symmetry generates all atoms from Np at (0.0000, 0.0000, 0.0000), Np at (0.0000, 0.0000, 0.1740), Bi at (0.0000, 0.0000, 0.7549) and Sb at (0.0000, 0.0000, 0.5852).

# 4
Here is an optimized crystal structure of Np2BiSb from the Alexandria database. Energies are from GGA-PBE.

The calculation puts the offset from the most stable computed form at 262.8 meV per atom. The calculation puts the uncorrected formation energy at 0.7 eV/f.u.

The structure belongs to space group R-3m (No. 166, hexagonal axes); the cell edges are 3.3344, 3.3344 and 32.8239 Å and the angles 90.00°, 90.00° and 120.00°. Symmetry generates all atoms from Np at (0.0000, 0.0000, 0.2470), Bi at (0.0000, 0.0000, 0.0000) and Sb at (0.0000, 0.0000, 0.5000).

# 5
Here is an optimized crystal structure of NpBiSb from the Alexandria database. Energies are from GGA-PBE.

The calculation puts the offset from the most stable computed form at 268.1 meV per atom. The calculation puts the uncorrected formation energy at 0.7 eV/f.u.

The structure belongs to space group F-43m (No. 216); the cell edges are 7.372, 7.372 and 7.372 Å and the angles 90.00°, 90.00° and 90.00°. Symmetry generates all atoms from Np at (0.000, 0.000, 0.000), Bi at (0.250, 0.250, 0.750) and Sb at (0.250, 0.250, 0.250).

# 6
Here is an optimized crystal structure of Np2BiSb4 from the Alexandria database. Energies are from GGA-PBE.

The calculation puts the uncorrected formation energy at -0.9 eV/f.u.

The structure belongs to space group P-4m2 (No. 115); the cell edges are 4.320, 4.320 and 11.092 Å and the angles 90.00°, 90.00° and 90.00°. Symmetry generates all atoms from Np at (0.000, 0.500, 0.219), Bi at (0.000, 0.000, 0.500), Sb at (0.000, 0.000, 0.000), Sb at (0.000, 0.500, 0.711) and Sb at (0.500, 0.500, 0.000).

# 7
Here is an optimized crystal structure of NpBiSb from the Alexandria database. Energies are from GGA-PBE.

The calculation puts the offset from the most stable computed form at 0.0 meV per atom. The calculation puts the uncorrected formation energy at -0.2 eV/f.u.

The structure belongs to space group I4/mmm (No. 139); the cell edges are 4.450, 4.450 and 17.248 Å and the angles 90.00°, 90.00° and 90.00°. Symmetry generates all atoms from Np at (0.000, 0.000, 0.130), Bi at (0.000, 0.000, 0.321) and Sb at (0.000, 0.500, 0.000).

# 8
Here is an optimized crystal structure of NpScBi2 from the Alexandria database. Energies are from GGA-PBE.

The calculation puts the offset from the most stable computed form at 104.6 meV per atom. Its energy relative to the elements is -0.163 eV/atom.

The structure belongs to space group P4/mmm (No. 123); the cell edges are 5.705, 5.705 and 3.351 Å and the angles 90.00°, 90.00° and 90.00°. Symmetry generates all atoms from Np at (0.000, 0.000, 0.000), Sc at (0.500, 0.500, 0.000) and Bi at (0.000, 0.500, 0.500).

# 9
Here is an optimized crystal structure of NpScBi2 from the Alexandria database. Energies are from GGA-PBE.

The calculation puts the offset from the most stable computed form at 106.3 meV per atom. Its energy relative to the elements is -0.161 eV/atom.

The structure belongs to space group P4/mmm (No. 123); the cell edges are 3.608, 3.608 and 8.268 Å and the angles 90.00°, 90.00° and 90.00°. Symmetry generates all atoms from Np at (0.000, 0.000, 0.000), Sc at (0.000, 0.000, 0.500) and Bi at (0.500, 0.500, 0.266).

# 10
Here is an optimized crystal structure of NpScBi2 from the Alexandria database. Energies are from GGA-PBE.

The calculation puts the offset from the most stable computed form at 150.8 meV per atom. Its energy relative to the elements is -0.117 eV/atom.

The structure belongs to space group Fm-3m (No. 225); the cell edges are 7.578, 7.578 and 7.578 Å and the angles 90.00°, 90.00° and 90.00°. Symmetry generates all atoms from Np at (0.000, 0.000, 0.000), Sc at (0.000, 0.000, 0.500) and Bi at (0.250, 0.250, 0.250).

# 11
Here is an optimized crystal structure of NpScBi2 from the Alexandria database. Energies are from GGA-PBE.

The calculation puts the offset from the most stable computed form at 0.0 meV per atom. Its energy relative to the elements is -0.267 eV/atom.

The structure belongs to space group R-3m (No. 166, hexagonal axes); the cell edges are 4.3751, 4.3751 and 21.6317 Å and the angles 90.00°, 90.00° and 120.00°. Symmetry generates all atoms from Np at (0.0000, 0.0000, 0.0000), Sc at (0.0000, 0.0000, 0.5000) and Bi at (0.0000, 0.0000, 0.2442).

# 12
Here is an optimized crystal structure of NpBi3Se6 from the Alexandria database. Energies are from GGA-PBE.

The calculation puts the uncorrected formation energy at -5.5 eV/f.u.

The structure belongs to space group P2_1/m (No. 11); the cell edges are 12.177, 4.142 and 12.259 Å and the angles 90.00°, 107.01° and 90.00°. Symmetry generates all atoms from Np at (0.184, 0.250, 0.038), Bi at (0.024, 0.750, 0.307), Bi at (0.339, 0.250, 0.430), Bi at (0.407, 0.750, 0.850), Se at (0.038, 0.750, 0.896), Se at (0.118, 0.250, 0.469), Se at (0.222, 0.750, 0.233), Se at (0.246, 0.250, 0.809), Se at (0.383, 0.750, 0.070) and Se at (0.415, 0.750, 0.593).

Total magnetic moment for every record listed, in sequence, given in μB/cell: 8.664; 4.032; 23.979; 26.569; 16.766; 8.345; 14.141; 5.127; 5.181; 19.171; 11.966; 8.006.